Entry 1:
Material: SrZr2Se
Method: DFT, meta-GGA SCAN
State: single point on PBEsol structure

Structure (POSCAR):
```
SrZr2Se
1.0
-1.0912 -1.9999 2.3481
4.7346 -0.3535 1.8992
-2.7489 5.7806 1.3667
Zr Sr Se
2 1 1
Direct
0.2978 0.3088 0.5955 Zr
0.7022 0.6912 0.4045 Zr
0.5000 0.0000 0.0000 Sr
0.0000 0.5000 0.0000 Se
```

**Raw total energy**: -105.48 eV per formula unit
**Raw formation energy**: -0.43 eV per atom
**Space-group type**: No. 12

---

Entry 2:
Material: BaMn2Be
Method: DFT, meta-GGA SCAN
State: single point on PBEsol structure

Structure (POSCAR):
```
BaMn2Be
1.0
3.6352 0.0000 -0.1008
0.0000 3.8776 0.0000
-1.6353 0.0000 5.9034
Mn Ba Be
2 1 1
Direct
0.2027 0.0000 0.0328 Mn
0.7243 0.5000 0.0756 Mn
0.4596 0.0000 0.5407 Ba
0.1133 0.5000 0.8510 Be
```

**Energy relative to the elements**: 147 kJ/mol of formula units
**Raw total energy**: -78.89 eV per formula unit
**Space-group type**: No. 6

---

Please write out number 2 again, unchanged.
Material: BaMn2Be
Method: DFT, meta-GGA SCAN
State: single point on PBEsol structure

Structure (POSCAR):
```
BaMn2Be
1.0
3.6352 0.0000 -0.1008
0.0000 3.8776 0.0000
-1.6353 0.0000 5.9034
Mn Ba Be
2 1 1
Direct
0.2027 0.0000 0.0328 Mn
0.7243 0.5000 0.0756 Mn
0.4596 0.0000 0.5407 Ba
0.1133 0.5000 0.8510 Be
```

**Energy relative to the elements**: 147 kJ/mol of formula units
**Raw total energy**: -78.89 eV per formula unit
**Space-group type**: No. 6

---

Copy entry 1 word for word.
Material: SrZr2Se
Method: DFT, meta-GGA SCAN
State: single point on PBEsol structure

Structure (POSCAR):
```
SrZr2Se
1.0
-1.0912 -1.9999 2.3481
4.7346 -0.3535 1.8992
-2.7489 5.7806 1.3667
Zr Sr Se
2 1 1
Direct
0.2978 0.3088 0.5955 Zr
0.7022 0.6912 0.4045 Zr
0.5000 0.0000 0.0000 Sr
0.0000 0.5000 0.0000 Se
```

**Raw total energy**: -105.48 eV per formula unit
**Raw formation energy**: -0.43 eV per atom
**Space-group type**: No. 12

---

Q: raw total energy of number 2 (BaMn2Be)?
A: -78.89 eV per formula unit

---

Q: Among the records above, which one has the highest raw total energy?
A: BaMn2Be